[1]
# AlReSb2I

Crystalline AlReSb2I at its relaxed geometry (GGA-PBE, Alexandria via LeMat-Bulk).

E_form (uncorrected), eV per atom: 1.461
Excess energy over the best structure of this formula in the dataset, meV/atom: 721
Space group: P4/mmm, No. 123

Unit cell a=5.2950 b=5.2950 c=5.2875 alpha=90.00 beta=90.00 gamma=90.00
Sites, in units of the cell vectors:
Al 0.0000 0.0000 0.0000
Re 0.5000 0.5000 0.5000
Sb 0.0000 0.5000 0.0000
Sb 0.5000 0.0000 0.0000
I 0.0000 0.0000 0.5000



[2]
# Y2TmTh

Crystalline Y2TmTh at its relaxed geometry (GGA-PBE, Alexandria via LeMat-Bulk).

Formation energy, eV per atom: 0.043
Excess energy over the best structure of this formula in the dataset, meV/atom: 44
Space group: P4/mmm, No. 123

Unit cell a=5.0074 b=5.0074 c=5.0554 alpha=90.00 beta=90.00 gamma=90.00
Sites, in units of the cell vectors:
Y 0.0000 0.5000 0.0000
Y 0.5000 0.0000 0.0000
Tm 0.0000 0.0000 0.5000
Th 0.5000 0.5000 0.5000



[3]
# K2PuTc2N4

Crystalline K2PuTc2N4 at its relaxed geometry (GGA-PBE, Alexandria via LeMat-Bulk).

E_form (uncorrected), eV per atom: -0.331
Space group: C2/m, No. 12

Unit cell a=7.1828 b=7.1828 c=6.6580 alpha=92.25 beta=92.25 gamma=28.10
Sites, in units of the cell vectors:
K 0.1243 0.1243 0.0209
K 0.8757 0.8757 0.9791
Pu 0.0000 0.0000 0.5000
Tc 0.3118 0.3118 0.4275
Tc 0.6882 0.6882 0.5725
N 0.1629 0.1629 0.4256
N 0.4397 0.4397 0.3099
N 0.5603 0.5603 0.6901
N 0.8371 0.8371 0.5744



[4]
# TmZr3

Crystalline TmZr3 at its relaxed geometry (GGA-PBE, Alexandria via LeMat-Bulk).

Formation energy, eV per atom: 0.085
Excess energy over the best structure of this formula in the dataset, meV/atom: 65
Space group: I4/mmm, No. 139

Unit cell a=5.6256 b=5.6256 c=5.6256 alpha=131.55 beta=131.55 gamma=70.93
Sites, in units of the cell vectors:
Tm 0.0000 0.0000 0.0000
Zr 0.2500 0.7500 0.5000
Zr 0.5000 0.5000 0.0000
Zr 0.7500 0.2500 0.5000



[5]
# Al2PPt

Crystalline Al2PPt at its relaxed geometry (GGA-PBE, Alexandria via LeMat-Bulk).

Formation energy, eV per atom: -0.060
Space group: F-43m, No. 216

Unit cell a=4.4622 b=4.4622 c=4.4622 alpha=60.00 beta=60.00 gamma=60.00
Sites, in units of the cell vectors:
Al 0.0000 0.0000 0.0000
Al 0.2500 0.2500 0.2500
P 0.5000 0.5000 0.5000
Pt 0.7500 0.7500 0.7500



[6]
# CaCd2Rh

Crystalline CaCd2Rh at its relaxed geometry (GGA-PBE, Alexandria via LeMat-Bulk).

Formation energy, eV per atom: -0.072
Space group: Cmmm, No. 65

Unit cell a=5.1583 b=5.1583 c=3.3719 alpha=90.00 beta=90.00 gamma=111.45
Sites, in units of the cell vectors:
Ca 0.0000 0.0000 0.0000
Cd 0.0000 0.5000 0.5000
Cd 0.5000 0.0000 0.5000
Rh 0.5000 0.5000 0.0000



[7]
# HfZnCl3

Crystalline HfZnCl3 at its relaxed geometry (GGA-PBE, Alexandria via LeMat-Bulk).

E_form (uncorrected), eV per atom: -0.943
Excess energy over the best structure of this formula in the dataset, meV/atom: 0
Space group: Pm-3m, No. 221

Unit cell a=5.0150 b=5.0150 c=5.0150 alpha=90.00 beta=90.00 gamma=90.00
Sites, in units of the cell vectors:
Hf 0.0000 0.0000 0.0000
Zn 0.5000 0.5000 0.5000
Cl 0.0000 0.0000 0.5000
Cl 0.0000 0.5000 0.0000
Cl 0.5000 0.0000 0.0000



[8]
# Tm4PSe2Cl

Crystalline Tm4PSe2Cl at its relaxed geometry (GGA-PBE, Alexandria via LeMat-Bulk).

E_form (uncorrected), eV per atom: -1.539
Space group: P2/m, No. 10

Unit cell a=6.8986 b=3.9597 c=6.9172 alpha=90.00 beta=108.99 gamma=90.00
Sites, in units of the cell vectors:
Tm 0.2232 0.0000 0.2302
Tm 0.2265 0.5000 0.7538
Tm 0.7735 0.5000 0.2462
Tm 0.7768 0.0000 0.7698
P 0.0000 0.5000 0.0000
Se 0.0000 0.0000 0.5000
Se 0.5000 0.5000 0.5000
Cl 0.5000 0.0000 0.0000



[9]
# HfMn3H

Crystalline HfMn3H at its relaxed geometry (GGA-PBE, Alexandria via LeMat-Bulk).

Excess energy over the best structure of this formula in the dataset, meV/atom: 0
Space group: Pm-3m, No. 221

Unit cell a=3.8761 b=3.8761 c=3.8761 alpha=90.00 beta=90.00 gamma=90.00
Sites, in units of the cell vectors:
Hf 0.0000 0.0000 0.0000
Mn 0.0000 0.5000 0.5000
Mn 0.5000 0.0000 0.5000
Mn 0.5000 0.5000 0.0000
H 0.5000 0.5000 0.5000



[10]
# SbTe2Au

Crystalline SbTe2Au at its relaxed geometry (GGA-PBE, Alexandria via LeMat-Bulk).

E_form (uncorrected), eV per atom: -0.026
Space group: P2/m, No. 10

Unit cell a=5.1749 b=4.3565 c=5.2127 alpha=90.00 beta=109.78 gamma=90.00
Sites, in units of the cell vectors:
Sb 0.0000 0.0000 0.0000
Te 0.2635 0.5000 0.7369
Te 0.7365 0.5000 0.2631
Au 0.5000 0.0000 0.5000



[11]
# AsPd2O6

Crystalline AsPd2O6 at its relaxed geometry (GGA-PBE, Alexandria via LeMat-Bulk).

E_form (uncorrected), eV per atom: -0.593
Space group: P4_2/mnm, No. 136

Unit cell a=4.6072 b=4.6072 c=9.2376 alpha=90.00 beta=90.00 gamma=90.00
Sites, in units of the cell vectors:
As 0.0000 0.0000 0.0000
As 0.5000 0.5000 0.5000
Pd 0.0000 0.0000 0.3324
Pd 0.0000 0.0000 0.6676
Pd 0.5000 0.5000 0.1676
Pd 0.5000 0.5000 0.8324
O 0.1872 0.1872 0.1569
O 0.1872 0.1872 0.8431
O 0.2042 0.2042 0.5000
O 0.2958 0.7042 0.0000
O 0.3128 0.6872 0.3431
O 0.3128 0.6872 0.6569
O 0.6872 0.3128 0.3431
O 0.6872 0.3128 0.6569
O 0.7042 0.2958 0.0000
O 0.7958 0.7958 0.5000
O 0.8128 0.8128 0.1569
O 0.8128 0.8128 0.8431



[12]
# LiCaF2

Crystalline LiCaF2 at its relaxed geometry (GGA-PBE, Alexandria via LeMat-Bulk).

E_form (uncorrected), eV per atom: -2.241
Excess energy over the best structure of this formula in the dataset, meV/atom: 577
Space group: Fm-3m, No. 225

Unit cell a=4.3429 b=4.3429 c=4.3429 alpha=60.00 beta=60.00 gamma=60.00
Sites, in units of the cell vectors:
Li 0.0000 0.0000 0.0000
Ca 0.5000 0.5000 0.5000
F 0.2500 0.2500 0.2500
F 0.7500 0.7500 0.7500



Question: What is the formula in the seventh record?
Answer: HfZnCl3